[1]
Below is Ca2PPt after structural relaxation, with properties calculated at the GGA-PBEsol level.

abc: 4.2785 5.3293 5.3293
angles: 47.39 90.00 90.00
Last column: nearest neighbours and their distance in Å.
Positions (direct):
Ca: 0.0000 0.0000 0.0000  3 P 2.88-2.96, 4 Pt 3.16
Ca: 0.5000 0.2907 0.2907  3 Pt 2.90-2.93, 4 P 3.16
P: 0.0000 0.6970 0.6970  2 Pt 2.38
Pt: 0.5000 0.5911 0.5911  2 P 2.38

Summary:
Raw total energy = -5.232 eV/atom
Energy above the most stable polymorph in this dataset = 0.0 meV per atom
Calculated volume = 22.360 Å³ per atom

[2]
Below is CaP2Pt after structural relaxation, with properties calculated at the GGA-PBEsol level.

abc: 4.4465 3.8594 4.5441
angles: 90.00 95.55 90.00
Last column: nearest neighbours and their distance in Å.
Positions (direct):
Ca: 0.0000 0.0000 0.0000  4 P 2.84, 2 Pt 3.02
P: 0.2305 0.5000 0.6234  1 P 2.24, 2 Pt 2.37
P: 0.7695 0.5000 0.3766  1 P 2.24, 2 Pt 2.37
Pt: 0.5000 0.0000 0.5000  4 P 2.37

Summary:
Raw total energy = -6.071 eV/atom
Energy above the most stable polymorph in this dataset = 0.0 meV per atom
Calculated volume = 19.404 Å³ per atom

[3]
Below is Ca2PPt after structural relaxation, with properties calculated at the GGA-PBEsol level.

abc: 4.0674 4.0674 5.7877
angles: 90.00 90.00 90.00
Last column: nearest neighbours and their distance in Å.
Positions (direct):
Ca: 0.0000 0.0000 0.0000  4 Pt 2.88, 2 P 2.89
Ca: 0.5000 0.5000 0.5000  4 P 2.88, 2 Pt 2.89
P: 0.0000 0.0000 0.5000  6 Ca 2.88-2.89
Pt: 0.5000 0.5000 0.0000  6 Ca 2.88-2.89

Summary:
Raw total energy = -4.819 eV/atom
Energy above the most stable polymorph in this dataset = 413.6 meV per atom
Calculated volume = 23.938 Å³ per atom

[4]
Below is Ca2PPt after structural relaxation, with properties calculated at the GGA-PBEsol level.

abc: 4.7657 4.7657 4.7657
angles: 60.00 60.00 60.00
Last column: nearest neighbours and their distance in Å.
Positions (direct):
Ca: 0.0000 0.0000 0.0000  4 P 2.92, 4 Ca 2.92
Ca: 0.2500 0.2500 0.2500  4 Pt 2.92, 4 Ca 2.92
P: 0.7500 0.7500 0.7500  4 Pt 2.92, 4 Ca 2.92
Pt: 0.5000 0.5000 0.5000  4 P 2.92, 4 Ca 2.92

Summary:
Raw total energy = -4.734 eV/atom
Energy above the most stable polymorph in this dataset = 498.1 meV per atom
Calculated volume = 19.134 Å³ per atom

[5]
Below is CaP2Pt after structural relaxation, with properties calculated at the GGA-PBEsol level.

abc: 6.0048 6.0048 6.8577
angles: 90.00 90.00 143.05
Last column: nearest neighbours and their distance in Å.
Positions (direct):
Ca: 0.1641 0.8359 0.7500  6 P 2.89-3.11, 3 Pt 3.10-3.22
Ca: 0.8359 0.1641 0.2500  6 P 2.89-3.11, 3 Pt 3.10-3.22
P: 0.4069 0.5931 0.5440  1 P 2.21, 2 Pt 2.38
P: 0.4069 0.5931 0.9560  1 P 2.21, 2 Pt 2.38
P: 0.5931 0.4069 0.0440  1 P 2.21, 2 Pt 2.38
P: 0.5931 0.4069 0.4560  1 P 2.21, 2 Pt 2.38
Pt: 0.1078 0.8922 0.2500  4 P 2.38
Pt: 0.8922 0.1078 0.7500  4 P 2.38

Summary:
Raw total energy = -6.071 eV/atom
Energy above the most stable polymorph in this dataset = 0.2 meV per atom
Calculated volume = 18.582 Å³ per atom

[6]
Below is CaPPt2 after structural relaxation, with properties calculated at the GGA-PBEsol level.

abc: 5.5683 5.5683 2.8189
angles: 104.61 104.61 119.66
Last column: nearest neighbours and their distance in Å.
Positions (direct):
Ca: 0.0000 0.0000 0.0000  4 Pt 2.78, 4 P 2.80, 2 Ca 2.82
P: 0.5000 0.5000 0.0000  4 Pt 2.78, 4 Ca 2.80, 2 P 2.82
Pt: 0.0000 0.5000 0.0000  2 Ca 2.78, 2 P 2.78, 6 Pt 2.80-2.82
Pt: 0.5000 0.0000 0.0000  2 Ca 2.78, 2 P 2.78, 6 Pt 2.80-2.82

Summary:
Raw total energy = -5.813 eV/atom
Calculated volume = 16.421 Å³ per atom

[7]
Below is CaReP2 after structural relaxation, with properties calculated at the GGA-PBEsol level.

abc: 4.5259 4.5259 3.1511
angles: 97.40 97.40 98.70
Last column: nearest neighbours and their distance in Å.
Positions (direct):
Ca: 0.0000 0.0000 0.0000  4 P 2.59
Re: 0.5000 0.5000 0.0000  4 P 2.59
P: 0.0000 0.5000 0.5000  2 Re 2.59, 2 Ca 2.59
P: 0.5000 0.0000 0.5000  2 Re 2.59, 2 Ca 2.59

Summary:
Raw total energy = -6.664 eV/atom
Energy above the most stable polymorph in this dataset = 565.7 meV per atom
Calculated volume = 15.636 Å³ per atom

[8]
Below is CaRe2P after structural relaxation, with properties calculated at the GGA-PBEsol level.

abc: 8.6133 8.6133 8.6133
angles: 19.90 19.90 19.90
Last column: nearest neighbours and their distance in Å.
Positions (direct):
Ca: 0.0000 0.0000 0.0000  6 Ca 2.98, 6 Re 3.06
Re: 0.2333 0.2333 0.2333  3 P 2.41
Re: 0.7667 0.7667 0.7667  3 P 2.41
P: 0.5000 0.5000 0.5000  6 Re 2.41

Summary:
Raw total energy = -8.285 eV/atom
Calculated volume = 16.185 Å³ per atom

[9]
Below is CaReP2 after structural relaxation, with properties calculated at the GGA-PBEsol level.

abc: 4.4149 4.4149 4.4149
angles: 122.28 117.33 90.39
Last column: nearest neighbours and their distance in Å.
Positions (direct):
Ca: 0.0000 0.0000 0.0000  8 P 2.69-2.73
Re: 0.5000 0.5000 0.0000  8 P 2.59-2.82
P: 0.2635 0.7635 0.5000  4 Re 2.59-2.82, 4 Ca 2.69-2.73
P: 0.7365 0.2365 0.5000  4 Re 2.59-2.82, 4 Ca 2.69-2.73

Summary:
Raw total energy = -6.997 eV/atom
Energy above the most stable polymorph in this dataset = 232.9 meV per atom
Calculated volume = 15.221 Å³ per atom

[10]
Below is CaReP after structural relaxation, with properties calculated at the GGA-PBEsol level.

abc: 4.2727 4.2727 4.2727
angles: 60.00 60.00 60.00
Last column: nearest neighbours and their distance in Å.
Positions (direct):
Ca: 0.0000 0.0000 0.0000  4 Re 2.62
Re: 0.7500 0.7500 0.7500  4 P 2.62, 4 Ca 2.62
P: 0.5000 0.5000 0.5000  4 Re 2.62

Summary:
Raw total energy = -6.438 eV/atom
Calculated volume = 18.386 Å³ per atom

[11]
Below is CaReP2 after structural relaxation, with properties calculated at the GGA-PBEsol level.

abc: 7.0859 7.0859 7.0859
angles: 154.54 153.25 37.26
Last column: nearest neighbours and their distance in Å.
Positions (direct):
Ca: 0.0000 0.0000 0.0000  6 P 2.80-2.81, 2 Ca 3.12
Re: 0.7556 0.2556 0.5000  6 P 2.36-2.48
P: 0.3309 0.8309 0.5000  4 Re 2.48
P: 0.6235 0.6235 0.0000  2 Re 2.36

Summary:
Raw total energy = -7.230 eV/atom
Energy above the most stable polymorph in this dataset = 0.0 meV per atom
Calculated volume = 17.185 Å³ per atom

[12]
Below is CaRe2P after structural relaxation, with properties calculated at the GGA-PBEsol level.

abc: 5.5411 5.5411 5.5411
angles: 150.35 130.16 59.07
Last column: nearest neighbours and their distance in Å.
Positions (direct):
Ca: 0.0000 0.0000 0.0000  4 P 2.73, 2 Ca 2.84
Re: 0.2950 0.7950 0.5000  2 P 2.43
Re: 0.7050 0.2050 0.5000  2 P 2.43
P: 0.5000 0.5000 0.0000  4 Re 2.43

Summary:
Raw total energy = -8.483 eV/atom
Calculated volume = 15.956 Å³ per atom